# 1
VASP calculation (PBE) on crystalline KNaB2H8 at its relaxed geometry.

Values from the calculation:
Density ... 1.19 g cm⁻³
DOS(E_F) ... 0.00 states/eV/f.u.
Energy above the lowest structure with this stoichiometry ... 6.1 meV per atom
Calculated volume ... 10.7 Å³/atom
Magnetic moment ... 0.0000 μB per atom
DFT total energy ... -141.29 eV/cell
Crystal system ... trigonal

Lattice parameters (Å, degrees): 4.4843 4.4843 22.0438 90.00 90.00 120.00
Space group R-3 (No. 148, hexagonal axes)
Unique sites:
K1 0.0000 0.0000 0.0000 [3 per cell]
Na1 0.0000 0.0000 0.5000 [3 per cell]
B1 0.0000 0.0000 0.2445 [6 per cell]
H1 0.0000 0.0000 0.3003 [6 per cell]
H2 0.0411 0.4691 0.4405 [18 per cell]

# 2
VASP calculation (PBE) on crystalline KNaB2H8 at its relaxed geometry.

Values from the calculation:
Density ... 1.17 g cm⁻³
DOS(E_F) ... 0.00 states/eV/f.u.
Energy above the lowest structure with this stoichiometry ... 8.8 meV per atom
Calculated volume ... 10.8 Å³/atom
Magnetic moment ... 0.0000 μB per atom
DFT total energy ... -141.19 eV/cell
Crystal system ... trigonal

Lattice parameters (Å, degrees): 4.5153 4.5153 22.1022 90.00 90.00 120.00
Space group R3 (No. 146, hexagonal axes)
Unique sites:
K1 0.0000 0.0000 0.0000 [3 per cell]
Na1 0.0000 0.0000 0.4954 [3 per cell]
B1 0.0000 0.0000 0.2476 [3 per cell]
B2 0.0000 0.0000 0.7587 [3 per cell]
H1 0.0000 0.0000 0.3033 [3 per cell]
H2 0.0000 0.0000 0.8141 [3 per cell]
H3 0.0951 0.7011 0.8965 [9 per cell]
H4 0.1850 0.3711 0.4067 [9 per cell]

# 3
VASP calculation (PBE) on crystalline KNaB2H8 at its relaxed geometry.

Values from the calculation:
Density ... 1.22 g cm⁻³
DOS(E_F) ... 0.00 states/eV/f.u.
Energy above the lowest structure with this stoichiometry ... 0.0 meV per atom
Calculated volume ... 10.4 Å³/atom
Magnetic moment ... 0.0000 μB per atom
DFT total energy ... -141.51 eV/cell
Crystal system ... trigonal

Lattice parameters (Å, degrees): 4.5735 4.5735 20.7310 90.00 90.00 120.00
Space group R-3m (No. 166, hexagonal axes)
Unique sites:
K1 0.0000 0.0000 0.0000 [3 per cell]
Na1 0.0000 0.0000 0.5000 [3 per cell]
B1 0.0000 0.0000 0.2391 [6 per cell]
H1 0.0000 0.0000 0.1799 [6 per cell]
H2 0.0413 0.5207 0.9258 [18 per cell]

# 4
VASP calculation (PBE) on crystalline KNiB2H8 at its relaxed geometry.

Values from the calculation:
Density ... 1.87 g cm⁻³
DOS(E_F) ... 4.82 states/eV/f.u.
Calculated volume ... 9.4 Å³/atom
Magnetic moment ... 0.0833 μB per atom
DFT total energy ... -144.07 eV/cell
Crystal system ... trigonal

Lattice parameters (Å, degrees): 4.4953 4.4953 19.4111 90.00 90.00 120.00
Space group R-3 (No. 148, hexagonal axes)
Unique sites:
K1 0.0000 0.0000 0.0000 [3 per cell]
Ni1 0.0000 0.0000 0.5000 [3 per cell]
B1 0.0000 0.0000 0.2402 [6 per cell]
H1 0.0000 0.0000 0.3033 [6 per cell]
H2 0.0366 0.5724 0.8856 [18 per cell]

# 5
VASP calculation (PBE) on crystalline KNiBH2 at its relaxed geometry.

Values from the calculation:
Density ... 2.54 g cm⁻³
DOS(E_F) ... 2.26 states/eV/f.u.
Energy above the lowest structure with this stoichiometry ... 13.0 meV per atom
Calculated volume ... 14.4 Å³/atom
Magnetic moment ... 0.0000 μB per atom
DFT total energy ... -10.62 eV/cell
Crystal system ... tetragonal

Lattice parameters (Å, degrees): 3.4039 3.4039 6.2317 90.00 90.00 90.00
Space group P4/mmm (No. 123)
Unique sites:
K1 0.0000 0.0000 0.0000 [1 per cell]
Ni1 0.0000 0.0000 0.5000 [1 per cell]
B1 0.5000 0.5000 0.5000 [1 per cell]
H1 0.0000 0.5000 0.0000 [2 per cell]

# 6
VASP calculation (PBE) on crystalline KNiBH2 at its relaxed geometry.

Values from the calculation:
Density ... 2.50 g cm⁻³
DOS(E_F) ... 2.57 states/eV/f.u.
Energy above the lowest structure with this stoichiometry ... 0.0 meV per atom
Calculated volume ... 14.7 Å³/atom
Magnetic moment ... 0.0000 μB per atom
DFT total energy ... -10.69 eV/cell
Crystal system ... tetragonal

Lattice parameters (Å, degrees): 3.4603 3.4603 6.1434 90.00 90.00 90.00
Space group P4/mmm (No. 123)
Unique sites:
K1 0.0000 0.0000 0.0000 [1 per cell]
Ni1 0.5000 0.5000 0.5000 [1 per cell]
B1 0.0000 0.0000 0.5000 [1 per cell]
H1 0.0000 0.5000 0.0000 [2 per cell]

# 7
VASP calculation (PBE) on crystalline K2B10H13O2 at its relaxed geometry.

Values from the calculation:
Density ... 1.35 g cm⁻³
DOS(E_F) ... 0.00 states/eV/f.u.
Calculated volume ... 10.5 Å³/atom
Magnetic moment ... 0.0000 μB per atom
DFT total energy ... -270.66 eV/cell
Crystal system ... triclinic

Lattice parameters (Å, degrees): 7.1789 7.7858 10.5483 102.61 90.46 98.07
Space group P-1 (No. 2)
Unique sites:
K1 0.2072 0.2576 0.4290 [2 per cell]
K2 0.2235 0.5813 0.8585 [2 per cell]
B1 0.1644 0.6113 0.3180 [2 per cell]
B2 0.1857 0.7659 0.2096 [2 per cell]
B3 0.2191 0.8456 0.3841 [2 per cell]
B4 0.2247 0.5506 0.1604 [2 per cell]
B5 0.3674 0.6959 0.4282 [2 per cell]
B6 0.3961 0.5520 0.2732 [2 per cell]
B7 0.3968 0.9150 0.2767 [2 per cell]
B8 0.4178 0.7068 0.1651 [2 per cell]
B9 0.4508 0.9174 0.4373 [2 per cell]
B10 0.4545 0.2355 0.6793 [2 per cell]
H1 0.0293 0.5311 0.3578 [2 per cell]
H2 0.0686 0.8221 0.1534 [2 per cell]
H3 0.0967 0.9183 0.4404 [2 per cell]
H4 0.1554 0.4308 0.0736 [2 per cell]
H5 0.1637 0.9104 0.7916 [2 per cell]
H6 0.2296 0.8635 0.6494 [2 per cell]
H7 0.2419 0.9793 0.0499 [2 per cell]
H8 0.2859 0.2339 0.6802 [2 per cell]
H9 0.3689 0.0733 0.9572 [2 per cell]
H10 0.3776 0.6363 0.5241 [2 per cell]
H11 0.4327 0.0516 0.2393 [2 per cell]
H12 0.4618 0.4173 0.2719 [2 per cell]
H13 0.4929 0.2925 0.9318 [2 per cell]
O1 0.1336 0.8265 0.7072 [2 per cell]
O2 0.2727 0.9714 0.9589 [2 per cell]

# 8
VASP calculation (PBE) on crystalline KB5H4O10 at its relaxed geometry.

Values from the calculation:
Density ... 2.04 g cm⁻³
DOS(E_F) ... 0.00 states/eV/f.u.
Calculated volume ... 10.5 Å³/atom
Magnetic moment ... 0.0000 μB per atom
DFT total energy ... -552.75 eV/cell
Crystal system ... monoclinic

Lattice parameters (Å, degrees): 9.3320 7.7937 11.6317 90.00 97.81 90.00
Space group P2_1/c (No. 14)
Unique sites:
K1 0.1787 0.0690 0.2331 [4 per cell]
B1 0.0689 0.6858 0.0735 [4 per cell]
B2 0.1332 0.1001 0.9225 [4 per cell]
B3 0.2063 0.5421 0.2468 [4 per cell]
B4 0.2535 0.0179 0.5427 [4 per cell]
B5 0.3296 0.6032 0.4490 [4 per cell]
H1 0.4041 0.7127 0.7772 [4 per cell]
H2 0.4096 0.1706 0.4890 [4 per cell]
H3 0.4387 0.6582 0.6056 [4 per cell]
H4 0.4637 0.0833 0.7251 [4 per cell]
O1 0.0406 0.2045 0.9759 [4 per cell]
O2 0.1039 0.6710 0.1904 [4 per cell]
O3 0.1236 0.0854 0.8053 [4 per cell]
O4 0.1426 0.5941 0.9973 [4 per cell]
O5 0.2347 0.0078 0.9970 [4 per cell]
O6 0.2840 0.0465 0.6600 [4 per cell]
O7 0.3159 0.6274 0.3314 [4 per cell]
O8 0.3248 0.0975 0.4620 [4 per cell]
O9 0.4357 0.6879 0.5194 [4 per cell]
O10 0.4385 0.6123 0.7352 [4 per cell]

# 9
VASP calculation (PBE) on crystalline K2B6H2O11 at its relaxed geometry.

Values from the calculation:
Density ... 2.14 g cm⁻³
DOS(E_F) ... 0.00 states/eV/f.u.
Calculated volume ... 11.9 Å³/atom
Magnetic moment ... 0.0000 μB per atom
DFT total energy ... -602.09 eV/cell
Crystal system ... monoclinic

Lattice parameters (Å, degrees): 9.1490 6.7199 18.3073 90.00 117.74 90.00
Space group P2_1/c (No. 14)
Unique sites:
K1 0.1179 0.1607 0.1316 [4 per cell]
K2 0.3316 0.5816 0.3443 [4 per cell]
B1 0.0641 0.2082 0.3370 [4 per cell]
B2 0.2086 0.6790 0.1459 [4 per cell]
B3 0.2273 0.5333 0.9479 [4 per cell]
B4 0.2400 0.1817 0.9820 [4 per cell]
B5 0.3002 0.6735 0.5481 [4 per cell]
B6 0.4808 0.6062 0.1635 [4 per cell]
H1 0.0141 0.6370 0.7718 [4 per cell]
H2 0.2975 0.0273 0.3181 [4 per cell]
O1 0.0693 0.2357 0.7616 [4 per cell]
O2 0.1067 0.6595 0.1806 [4 per cell]
O3 0.1382 0.1351 0.9013 [4 per cell]
O4 0.1628 0.0191 0.3652 [4 per cell]
O5 0.1762 0.7061 0.5784 [4 per cell]
O6 0.2430 0.7307 0.9665 [4 per cell]
O7 0.2690 0.1168 0.5069 [4 per cell]
O8 0.3176 0.0444 0.0429 [4 per cell]
O9 0.3566 0.5691 0.1855 [4 per cell]
O10 0.3744 0.5007 0.7950 [4 per cell]
O11 0.4641 0.7479 0.1068 [4 per cell]

# 10
VASP calculation (PBE) on crystalline K2BHO2 at its relaxed geometry.

Values from the calculation:
Density ... 2.11 g cm⁻³
DOS(E_F) ... 0.00 states/eV/f.u.
Calculated volume ... 16.0 Å³/atom
Magnetic moment ... 0.0000 μB per atom
DFT total energy ... -126.30 eV/cell
Crystal system ... orthorhombic

Lattice parameters (Å, degrees): 11.1520 5.9585 5.7809 90.00 90.00 90.00
Space group Cmc2_1 (No. 36)
Unique sites:
K1 0.1501 0.2397 0.0000 [8 per cell]
B1 0.0000 0.2768 0.4709 [4 per cell]
H1 0.0000 0.4327 0.3179 [4 per cell]
O1 0.1114 0.2082 0.5328 [8 per cell]

# 11
VASP calculation (PBE) on crystalline K4B10H4O19 at its relaxed geometry.

Values from the calculation:
Density ... 2.22 g cm⁻³
DOS(E_F) ... 0.00 states/eV/f.u.
Calculated volume ... 11.6 Å³/atom
Magnetic moment ... 0.0035 μB per atom
DFT total energy ... -1041.98 eV/cell
Crystal system ... monoclinic

Lattice parameters (Å, degrees): 18.2664 6.9508 13.5593 90.00 96.00 90.00
Space group C2/c (No. 15)
Unique sites:
K1 0.0613 0.1411 0.4339 [8 per cell]
K2 0.2187 0.3923 0.3472 [8 per cell]
B1 0.0364 0.3301 0.8296 [8 per cell]
B2 0.0817 0.1472 0.6897 [8 per cell]
B3 0.1094 0.3869 0.9965 [8 per cell]
B4 0.1294 0.1735 0.1470 [8 per cell]
B5 0.2259 0.4030 0.0984 [8 per cell]
H1 0.0620 0.3534 0.2233 [8 per cell]
H2 0.1678 0.0911 0.8458 [8 per cell]
O1 0.0000 0.4508 0.7500 [4 per cell]
O2 0.0186 0.1989 0.6312 [8 per cell]
O3 0.0741 0.4493 0.9084 [8 per cell]
O4 0.0876 0.2384 0.0517 [8 per cell]
O5 0.0942 0.2392 0.2329 [8 per cell]
O6 0.0949 0.2089 0.7870 [8 per cell]
O7 0.1343 0.0373 0.6491 [8 per cell]
O8 0.1749 0.4893 0.0280 [8 per cell]
O9 0.2050 0.0151 0.8901 [8 per cell]
O10 0.2079 0.2477 0.1520 [8 per cell]